Pa3Cu2Ge4 | Alexandria via LeMat-Bulk | GGA-PBE | relaxed; calculated volume = 177.76 Å³/f.u.; ρ = 10.38 g/cm3; E = -6.496 eV per atom; symmetry = No. 12
1.0
5.355 -2.078 0.000
5.355 2.078 0.000
-1.774 0.000 7.990
Pa Cu Ge
3 2 4
Direct
0.000 0.000 0.000
0.336 0.336 0.330
0.664 0.664 0.670
0.387 0.387 0.714
0.613 0.613 0.286
0.062 0.062 0.388
0.284 0.284 0.937
0.716 0.716 0.063
0.938 0.938 0.612

=====

Pa2Cu3Ge | Alexandria via LeMat-Bulk | GGA-PBE | relaxed; calculated volume = 108.77 Å³/f.u.; ρ = 11.07 g/cm3; E = -6.169 eV per atom; symmetry = No. 69
1.0
0.000 4.387 7.591
3.266 0.000 7.591
3.266 4.387 0.000
Pa Cu Ge
4 6 2
Direct
0.234 0.766 0.766
0.250 0.250 0.250
0.750 0.750 0.750
0.766 0.234 0.234
0.166 0.166 0.834
0.169 0.666 0.334
0.334 0.831 0.169
0.666 0.169 0.831
0.831 0.334 0.666
0.834 0.834 0.166
0.335 0.335 0.665
0.665 0.665 0.335

=====

PaCuGe2 | Alexandria via LeMat-Bulk | GGA-PBE | relaxed; calculated volume = 73.07 Å³/f.u.; ρ = 10.00 g/cm3; E = -5.754 eV per atom; symmetry = No. 123
1.0
3.321 0.000 0.000
0.000 3.321 0.000
0.000 0.000 6.626
Pa Cu Ge
1 1 2
Direct
0.000 0.000 0.000
0.000 0.000 0.500
0.500 0.500 0.302
0.500 0.500 0.698

=====

Pa2Cu5Ge4 | Alexandria via LeMat-Bulk | GGA-PBE | relaxed; calculated volume = 188.31 Å³/f.u.; ρ = 9.44 g/cm3; E = -5.339 eV per atom; symmetry = No. 69
1.0
0.000 4.622 7.197
2.830 0.000 7.197
2.830 4.622 0.000
Pa Cu Ge
2 5 4
Direct
0.144 0.144 0.856
0.856 0.856 0.144
0.000 0.000 0.500
0.250 0.250 0.250
0.500 0.500 0.000
0.500 0.500 0.500
0.750 0.750 0.750
0.222 0.502 0.498
0.498 0.778 0.222
0.502 0.222 0.778
0.778 0.498 0.502

=====

PaCu6Ge2 | Alexandria via LeMat-Bulk | GGA-PBE | relaxed; calculated volume = 133.45 Å³/f.u.; ρ = 9.43 g/cm3; E = -4.954 eV per atom; symmetry = No. 123
1.0
3.980 0.000 0.000
0.000 3.980 0.000
0.000 0.000 8.425
Pa Cu Ge
1 6 2
Direct
0.000 0.000 0.000
0.000 0.000 0.500
0.000 0.500 0.314
0.000 0.500 0.686
0.500 0.000 0.314
0.500 0.000 0.686
0.500 0.500 0.500
0.500 0.500 0.148
0.500 0.500 0.852

=====

Pa4CuGe8 | Alexandria via LeMat-Bulk | GGA-PBE | relaxed; calculated volume = 267.14 Å³/f.u.; ρ = 9.75 g/cm3; E = -6.458 eV per atom; symmetry = No. 25
1.0
4.046 0.000 0.000
0.000 4.127 0.000
0.000 0.000 15.998
Pa Cu Ge
4 1 8
Direct
0.000 0.000 0.000
0.000 0.500 0.487
0.500 0.000 0.789
0.500 0.500 0.283
0.000 0.500 0.709
0.000 0.000 0.328
0.000 0.000 0.628
0.000 0.500 0.142
0.000 0.500 0.855
0.500 0.000 0.142
0.500 0.000 0.440
0.500 0.500 0.627
0.500 0.500 0.960

=====

Copy entry 3 word for word.
PaCuGe2 | Alexandria via LeMat-Bulk | GGA-PBE | relaxed; calculated volume = 73.07 Å³/f.u.; ρ = 10.00 g/cm3; E = -5.754 eV per atom; symmetry = No. 123
1.0
3.321 0.000 0.000
0.000 3.321 0.000
0.000 0.000 6.626
Pa Cu Ge
1 1 2
Direct
0.000 0.000 0.000
0.000 0.000 0.500
0.500 0.500 0.302
0.500 0.500 0.698

=====

Question: Among the records above, which one has the lowest calculated volume?
Answer: PaCuGe2

=====

Question: What is the calculated volume in the first record?
Answer: 177.76 Å³/f.u.